A plane-wave DFT calculation with PBE was carried out for a geometry-optimized Ac14NdMg structure.

It has space group Amm2 (No. 38), with a = 11.1786 Å, b = 11.1050 Å, c = 11.1054 Å, α = 90.00°, β = 90.00° and γ = 90.00°. Symmetry generates all atoms from Ac at (0.0000, 0.0000, 0.9997), Ac at (0.0000, 0.0000, 0.5000), Ac at (0.0000, 0.2505, 0.2499), Ac at (0.2555, 0.0000, 0.2503), Ac at (0.2563, 0.2503, 0.9998), Ac at (0.2571, 0.0000, 0.7492), Ac at (0.5000, 0.2490, 0.2500), Nd at (0.5000, 0.0000, 0.9999) and Mg at (0.5000, 0.0000, 0.4995).

For the uncorrected energy, the calculation gives -3.979 eV per atom. Its calculated formation energy is 13 meV per atom.